Record 1
A plane-wave DFT calculation with PBE-GGA was carried out for a relaxed structure of PrTmPu2.

a = 3.4384 Å, b = 3.4384 Å, c = 10.1538 Å
α = 90.00°, β = 90.00°, γ = 90.00°
With the nearest neighbours (Å) after each atom.
Fractional positions:
1 Pr 0.0000 0.0000 0.0000  4 Pr 3.44, 8 Pu 3.57
2 Tm 0.0000 0.0000 0.5000  4 Tm 3.44, 8 Pu 3.46
3 Pu 0.5000 0.5000 0.2581  4 Pu 3.44, 4 Tm 3.46, 4 Pr 3.57
4 Pu 0.5000 0.5000 0.7419  4 Pu 3.44, 4 Tm 3.46, 4 Pr 3.57

Calculated values
As for the space group: No. 123. The calculation puts the formation energy from the elements at 0.20 eV per atom.

***

Record 2
A plane-wave DFT calculation with PBE-GGA was carried out for a relaxed structure of HfMgNb.

a = 3.1138 Å, b = 3.1138 Å, c = 7.5434 Å
α = 90.00°, β = 90.00°, γ = 120.00°
With the nearest neighbours (Å) after each atom.
Fractional positions:
1 Hf 0.0000 0.0000 0.0000  3 Nb 2.96, 6 Hf 3.11, 3 Mg 3.23
2 Mg 0.3333 0.6667 0.6443  3 Nb 3.08, 6 Mg 3.11, 3 Hf 3.23
3 Nb 0.6667 0.3333 0.3124  3 Hf 2.96, 3 Mg 3.08, 6 Nb 3.11

Calculated values
As for the space group: No. 156. The calculation puts the formation energy from the elements at 0.22 eV per atom.

***

Record 3
A plane-wave DFT calculation with PBE-GGA was carried out for a relaxed structure of TbHoAgPd.

a = 5.0484 Å, b = 5.0484 Å, c = 5.0484 Å
α = 60.00°, β = 60.00°, γ = 60.00°
With the nearest neighbours (Å) after each atom.
Fractional positions:
1 Tb 0.0000 0.0000 0.0000  4 Ag 3.09, 4 Pd 3.09
2 Ho 0.5000 0.5000 0.5000  4 Pd 3.09, 4 Ag 3.09
3 Ag 0.7500 0.7500 0.7500  4 Ho 3.09, 4 Tb 3.09
4 Pd 0.2500 0.2500 0.2500  4 Ho 3.09, 4 Tb 3.09

Calculated values
As for the space group: No. 216. The calculation puts the formation energy from the elements at -0.59 eV per atom.

***

Record 4
A plane-wave DFT calculation with PBE-GGA was carried out for a relaxed structure of TiSb2Pb.

a = 8.1411 Å, b = 8.1411 Å, c = 8.1411 Å
α = 131.95°, β = 131.95°, γ = 70.31°
With the nearest neighbours (Å) after each atom.
Fractional positions:
1 Ti 0.0000 0.0000 0.0000  4 Sb 2.68
2 Ti 0.7500 0.2500 0.5000  4 Sb 2.68
3 Sb 0.0706 0.6250 0.9456  2 Ti 2.68
4 Sb 0.3750 0.3206 0.4456  2 Ti 2.68
5 Sb 0.6794 0.1250 0.0544  2 Ti 2.68
6 Sb 0.8750 0.9294 0.5544  2 Ti 2.68
7 Pb 0.2500 0.7500 0.5000  4 Sb 3.10
8 Pb 0.5000 0.5000 0.0000  4 Sb 3.10

Calculated values
As for the space group: No. 122. Its uncorrected formation energy is 0.10 eV per atom.